No. 1
Material: LuInCoRe
Method: DFT, PBE
State: optimized geometry

Properties
Total DFT energy (no corrections) = -0.460 Ry/atom
Excess energy over the best structure of this formula in the dataset = 0.117 eV per atom

```
4
Lattice="-2.4303 0.6695 3.9184 -3.3504 3.2349 0.1394 -4.4729 -1.2865 0.2157" Properties=species:S:1:pos:R:3 pbc="T T T"
Co -7.6902 1.9634 3.2051
Re -5.1268 1.3089 2.1368
In 0.0000 0.0000 0.0000
Lu -2.5634 0.6545 1.0684
```


No. 2
Material: LuInCoRe
Method: DFT, PBE
State: optimized geometry

Properties
Total DFT energy (no corrections) = -0.469 Ry/atom
Excess energy over the best structure of this formula in the dataset = 0.000 eV per atom

```
4
Lattice="-2.9369 -3.5198 -0.5636 -3.8025 0.5528 -2.5628 -0.3415 -2.0879 -4.1056" Properties=species:S:1:pos:R:3 pbc="T T T"
Lu -3.5404 -2.5275 -3.6160
In 0.0000 0.0000 0.0000
Co -5.3106 -3.7912 -5.4240
Re -1.7702 -1.2637 -1.8080
```


No. 3
Material: LuInCoS3
Method: DFT, PBE
State: optimized geometry

Properties
Total DFT energy (no corrections) = -0.397 Ry/atom

```
12
Lattice="6.9033 -1.8907 0.0000 6.9033 1.8907 0.0000 0.0000 0.0000 10.1210" Properties=species:S:1:pos:R:3 pbc="T T T"
Co 7.2384 0.0000 7.5907
Co 6.5682 0.0000 2.5302
S 5.1803 0.0000 0.7382
S 5.1803 0.0000 4.3223
S 12.8888 0.0000 7.5907
S 0.9178 0.0000 2.5302
S 8.6263 0.0000 9.3827
S 8.6263 0.0000 5.7987
In 10.3906 0.0000 2.5302
In 3.4160 0.0000 7.5907
Lu 0.0000 0.0000 0.0000
Lu 0.0000 0.0000 5.0605
```


No. 4
Material: LuTaInCo
Method: DFT, PBE
State: optimized geometry

Properties
Total DFT energy (no corrections) = -0.455 Ry/atom
Excess energy over the best structure of this formula in the dataset = 0.000 eV per atom

```
4
Lattice="-4.1603 -2.1952 -0.3172 -3.6754 1.5386 2.5203 -3.6207 2.1110 -2.1592" Properties=species:S:1:pos:R:3 pbc="T T T"
Lu -2.8641 0.3636 0.0110
Ta -5.7282 0.7272 0.0219
Co -8.5924 1.0908 0.0329
In 0.0000 0.0000 0.0000
```


No. 5
Material: LuInCoTe3
Method: DFT, PBE
State: optimized geometry

Properties
Total DFT energy (no corrections) = -0.328 Ry/atom
Excess energy over the best structure of this formula in the dataset = 0.031 eV per atom

```
24
Lattice="12.2770 0.0000 0.0000 0.0000 4.0392 0.0000 0.0000 0.0000 12.7272" Properties=species:S:1:pos:R:3 pbc="T T T"
Te 6.8564 2.0196 11.4051
Te 11.5591 2.0196 5.0415
Te 1.6753 0.0000 12.4963
Te 9.5808 0.0000 9.7680
Te 5.4206 0.0000 1.3221
Te 7.8138 2.0196 6.5945
Te 3.4423 2.0196 9.3229
Te 0.7179 0.0000 7.6858
Te 8.8347 0.0000 3.4043
Te 4.4632 0.0000 6.1327
Te 2.6962 2.0196 2.9593
Te 10.6017 2.0196 0.2309
Co 1.9295 0.0000 9.9635
Co 10.3475 2.0196 2.7637
Co 8.0680 2.0196 9.1273
Co 4.2090 0.0000 3.5999
Lu 2.2959 2.0196 5.9788
Lu 8.4344 0.0000 0.3848
Lu 3.8426 2.0196 12.3424
Lu 9.9811 0.0000 6.7485
In 0.1059 2.0196 10.3003
In 12.1711 0.0000 2.4269
In 6.2444 0.0000 8.7905
In 6.0326 2.0196 3.9367
```


No. 6
Material: LuInCoTe3
Method: DFT, PBE
State: optimized geometry

Properties
Total DFT energy (no corrections) = -0.331 Ry/atom
Excess energy over the best structure of this formula in the dataset = 0.000 eV per atom

```
12
Lattice="-0.5183 -1.4104 3.7961 -7.4256 -2.9319 0.0923 3.7895 -9.6949 -3.0846" Properties=species:S:1:pos:R:3 pbc="T T T"
Co 2.2709 -8.0733 -0.4940
Co -6.4253 -5.9638 1.2978
Te 0.0044 -6.8524 -0.3498
Te -0.7267 -4.1932 2.7338
Te -5.5008 -3.7514 2.2461
Te -3.4276 -9.8439 -1.9299
Te 1.3465 -10.2857 -1.4422
Te -4.1588 -7.1848 1.1537
Lu 1.8948 -4.8474 -1.5423
Lu 0.0000 0.0000 0.0000
In -2.9531 -4.2603 0.2094
In -1.2013 -9.7768 0.5945
```


No. 7
Material: LuInCoW
Method: DFT, PBE
State: optimized geometry

Properties
Total DFT energy (no corrections) = -0.467 Ry/atom
Excess energy over the best structure of this formula in the dataset = 0.000 eV per atom

```
4
Lattice="-0.3632 -2.6200 3.8792 -2.2240 1.6894 3.7741 -4.1640 -1.7674 1.2579" Properties=species:S:1:pos:R:3 pbc="T T T"
In 0.0000 0.0000 0.0000
Lu -3.3756 -1.3490 4.4556
W -1.6878 -0.6745 2.2278
Co -5.0634 -2.0235 6.6834
```


No. 8
Material: YLuInCo
Method: DFT, PBE
State: optimized geometry

Properties
Total DFT energy (no corrections) = -0.385 Ry/atom

```
4
Lattice="0.7045 -4.1712 -2.4427 -2.8273 -1.0949 -3.8301 1.8597 0.0983 -4.5159" Properties=species:S:1:pos:R:3 pbc="T T T"
Co -0.1973 -3.8758 -8.0915
In 0.0000 0.0000 0.0000
Y -0.1315 -2.5839 -5.3944
Lu -0.0658 -1.2919 -2.6972
```


No. 9
Material: MgInCoMo
Method: DFT, PBE
State: optimized geometry

Properties
Total DFT energy (no corrections) = -0.383 Ry/atom
Excess energy over the best structure of this formula in the dataset = 0.000 eV per atom

```
4
Lattice="2.4546 -3.3533 1.6771 -1.7375 -4.1204 0.2915 1.4872 -3.2548 -2.6975" Properties=species:S:1:pos:R:3 pbc="T T T"
Mo 1.1022 -5.3643 -0.3645
Co 1.6532 -8.0464 -0.5467
In 0.0000 0.0000 0.0000
Mg 0.5511 -2.6821 -0.1822
```


No. 10
Material: MgInCoNi
Method: DFT, PBE
State: optimized geometry

Properties
Total DFT energy (no corrections) = -0.316 Ry/atom
Excess energy over the best structure of this formula in the dataset = 0.000 eV per atom

```
4
Lattice="0.0000 3.0691 3.0691 3.0691 0.0000 3.0691 3.0691 3.0691 0.0000" Properties=species:S:1:pos:R:3 pbc="T T T"
In 0.0000 0.0000 0.0000
Co 4.6037 4.6037 4.6037
Ni 1.5345 1.5345 1.5345
Mg 3.0691 3.0691 3.0691
```


No. 11
Material: MgInCoRe
Method: DFT, PBE
State: optimized geometry

Properties
Total DFT energy (no corrections) = -0.405 Ry/atom
Excess energy over the best structure of this formula in the dataset = 0.000 eV per atom

```
4
Lattice="0.0000 3.1568 3.1568 3.1568 0.0000 3.1568 3.1568 3.1568 0.0000" Properties=species:S:1:pos:R:3 pbc="T T T"
Mg 1.5784 1.5784 1.5784
Co 4.7351 4.7351 4.7351
Re 3.1568 3.1568 3.1568
In 0.0000 0.0000 0.0000
```


No. 12
Material: MgInCoSi
Method: DFT, PBE
State: optimized geometry

Properties
Total DFT energy (no corrections) = -0.293 Ry/atom
Excess energy over the best structure of this formula in the dataset = 0.000 eV per atom

```
4
Lattice="0.0000 3.1723 3.1723 3.1723 0.0000 3.1723 3.1723 3.1723 0.0000" Properties=species:S:1:pos:R:3 pbc="T T T"
Mg 4.7585 4.7585 4.7585
In 0.0000 0.0000 0.0000
Si 3.1723 3.1723 3.1723
Co 1.5862 1.5862 1.5862
```


No. 13
Material: MgTaInCo
Method: DFT, PBE
State: optimized geometry

Properties
Total DFT energy (no corrections) = -0.390 Ry/atom
Excess energy over the best structure of this formula in the dataset = 0.272 eV per atom

```
4
Lattice="-4.3744 0.0120 1.4078 -1.8743 3.8606 1.6432 -3.1939 2.2242 -2.4431" Properties=species:S:1:pos:R:3 pbc="T T T"
Co -7.0820 4.5726 0.4559
In 0.0000 0.0000 0.0000
Ta -2.3606 1.5242 0.1520
Mg -4.7213 3.0484 0.3040
```


No. 14
Material: MgTaInCo
Method: DFT, PBE
State: optimized geometry

Properties
Total DFT energy (no corrections) = -0.410 Ry/atom
Excess energy over the best structure of this formula in the dataset = 0.000 eV per atom

```
4
Lattice="0.8878 -3.1361 -3.1383 1.9487 -3.9056 1.1924 -2.3877 -3.8421 -0.0978" Properties=species:S:1:pos:R:3 pbc="T T T"
In 0.0000 0.0000 0.0000
Co 0.3366 -8.1628 -1.5328
Ta 0.2244 -5.4419 -1.0219
Mg 0.1122 -2.7210 -0.5109
```


No. 15
Material: TmMgIn4Co2
Method: DFT, PBE
State: optimized geometry

Properties
Total DFT energy (no corrections) = -0.296 Ry/atom

```
8
Lattice="-6.1439 3.7762 2.7293 -1.4696 -4.4020 2.7824 1.0422 -1.8905 4.9618" Properties=species:S:1:pos:R:3 pbc="T T T"
Mg -0.1871 -2.7549 3.3905
Co -3.1910 0.1351 3.5220
Co -0.3062 -4.5087 5.5489
In -2.1810 -4.2641 7.4278
In -5.0136 2.1253 3.3291
In -1.2550 -0.1848 1.6594
In -4.6937 -2.7197 8.5440
Tm -3.3136 -1.6693 5.7428
```


No. 16
Material: MgInCoW
Method: DFT, PBE
State: optimized geometry

Properties
Total DFT energy (no corrections) = -0.409 Ry/atom
Excess energy over the best structure of this formula in the dataset = 0.000 eV per atom

```
4
Lattice="-1.6014 1.7891 3.7865 -3.9799 2.0647 -0.0042 -3.5060 -1.8857 2.0628" Properties=species:S:1:pos:R:3 pbc="T T T"
In 0.0000 0.0000 0.0000
Co -6.8155 1.4761 4.3839
W -4.5437 0.9841 2.9226
Mg -2.2718 0.4920 1.4613
```


No. 17
Material: MgInCoW
Method: DFT, PBE
State: optimized geometry

Properties
Total DFT energy (no corrections) = -0.398 Ry/atom
Excess energy over the best structure of this formula in the dataset = 0.145 eV per atom

```
4
Lattice="0.0000 3.2091 3.2091 3.2091 0.0000 3.2091 3.2091 3.2091 0.0000" Properties=species:S:1:pos:R:3 pbc="T T T"
W 1.6046 1.6046 1.6046
Mg 3.2091 3.2091 3.2091
In 0.0000 0.0000 0.0000
Co 4.8137 4.8137 4.8137
```


No. 18
Material: YMgInCo
Method: DFT, PBE
State: optimized geometry

Properties
Total DFT energy (no corrections) = -0.333 Ry/atom
Excess energy over the best structure of this formula in the dataset = 0.000 eV per atom

```
4
Lattice="0.0000 3.3849 3.3849 3.3849 0.0000 3.3849 3.3849 3.3849 0.0000" Properties=species:S:1:pos:R:3 pbc="T T T"
Mg 1.6925 1.6925 1.6925
Co 5.0774 5.0774 5.0774
Y 3.3849 3.3849 3.3849
In 0.0000 0.0000 0.0000
```


No. 19
Material: YMgInCo
Method: DFT, PBE
State: optimized geometry

Properties
Total DFT energy (no corrections) = -0.327 Ry/atom
Excess energy over the best structure of this formula in the dataset = 0.088 eV per atom

```
4
Lattice="0.0000 3.3955 3.3955 3.3955 0.0000 3.3955 3.3955 3.3955 0.0000" Properties=species:S:1:pos:R:3 pbc="T T T"
In 0.0000 0.0000 0.0000
Co 5.0933 5.0933 5.0933
Y 1.6978 1.6978 1.6978
Mg 3.3955 3.3955 3.3955
```


No. 20
Material: MgZrInCo
Method: DFT, PBE
State: optimized geometry

Properties
Total DFT energy (no corrections) = -0.377 Ry/atom
Excess energy over the best structure of this formula in the dataset = 0.000 eV per atom

```
4
Lattice="0.0000 3.2522 3.2522 3.2522 0.0000 3.2522 3.2522 3.2522 0.0000" Properties=species:S:1:pos:R:3 pbc="T T T"
Zr 3.2522 3.2522 3.2522
In 0.0000 0.0000 0.0000
Co 4.8783 4.8783 4.8783
Mg 1.6261 1.6261 1.6261
```


No. 21
Material: MgZrInCo
Method: DFT, PBE
State: optimized geometry

Properties
Total DFT energy (no corrections) = -0.370 Ry/atom
Excess energy over the best structure of this formula in the dataset = 0.085 eV per atom

```
4
Lattice="0.0000 3.3088 3.3088 3.3088 0.0000 3.3088 3.3088 3.3088 0.0000" Properties=species:S:1:pos:R:3 pbc="T T T"
Zr 1.6544 1.6544 1.6544
Co 0.0000 0.0000 0.0000
Mg 4.9632 4.9632 4.9632
In 3.3088 3.3088 3.3088
```


No. 22
Material: MgZrInCo
Method: DFT, PBE
State: optimized geometry

Properties
Total DFT energy (no corrections) = -0.358 Ry/atom
Excess energy over the best structure of this formula in the dataset = 0.252 eV per atom

```
4
Lattice="0.0000 3.2997 3.2997 3.2997 0.0000 3.2997 3.2997 3.2997 0.0000" Properties=species:S:1:pos:R:3 pbc="T T T"
In 1.6499 1.6499 1.6499
Zr 0.0000 0.0000 0.0000
Mg 4.9496 4.9496 4.9496
Co 3.2997 3.2997 3.2997
```


No. 23
Material: NbInCoMo
Method: DFT, PBE
State: optimized geometry

Properties
Total DFT energy (no corrections) = -0.549 Ry/atom
Excess energy over the best structure of this formula in the dataset = 0.000 eV per atom

```
4
Lattice="3.4571 -1.1062 2.6939 1.6996 3.0548 2.8657 -0.6587 -0.4619 4.4480" Properties=species:S:1:pos:R:3 pbc="T T T"
Co 3.3734 1.1150 7.5057
In 0.0000 0.0000 0.0000
Mo 1.1245 0.3717 2.5019
Nb 2.2490 0.7433 5.0038
```


No. 24
Material: InCoNiMo
Method: DFT, PBE
State: optimized geometry

Properties
Total DFT energy (no corrections) = -0.470 Ry/atom
Excess energy over the best structure of this formula in the dataset = 0.000 eV per atom

```
4
Lattice="0.0000 3.0573 3.0573 3.0573 0.0000 3.0573 3.0573 3.0573 0.0000" Properties=species:S:1:pos:R:3 pbc="T T T"
Mo 3.0574 3.0574 3.0574
Co 4.5860 4.5860 4.5860
In 0.0000 0.0000 0.0000
Ni 1.5287 1.5287 1.5287
```


No. 25
Material: InCoNiMo
Method: DFT, PBE
State: optimized geometry

Properties
Total DFT energy (no corrections) = -0.458 Ry/atom
Excess energy over the best structure of this formula in the dataset = 0.159 eV per atom

```
4
Lattice="-3.7280 0.0290 2.2024 -1.1994 3.5440 2.1797 -3.3282 2.3852 -1.4084" Properties=species:S:1:pos:R:3 pbc="T T T"
In 0.0000 0.0000 0.0000
Ni -6.1916 4.4686 2.2303
Co -4.1278 2.9791 1.4869
Mo -2.0639 1.4895 0.7434
```


No. 26
Material: InCoMoOs
Method: DFT, PBE
State: optimized geometry

Properties
Total DFT energy (no corrections) = -0.566 Ry/atom
Excess energy over the best structure of this formula in the dataset = 0.000 eV per atom

```
4
Lattice="0.0000 3.1335 3.1335 3.1335 0.0000 3.1335 3.1335 3.1335 0.0000" Properties=species:S:1:pos:R:3 pbc="T T T"
Mo 3.1335 3.1335 3.1335
Os 1.5667 1.5667 1.5667
In 0.0000 0.0000 0.0000
Co 4.7002 4.7002 4.7002
```


No. 27
Material: InCoMoPt
Method: DFT, PBE
State: optimized geometry

Properties
Total DFT energy (no corrections) = -0.479 Ry/atom
Excess energy over the best structure of this formula in the dataset = 0.000 eV per atom

```
4
Lattice="4.2856 -1.2084 -0.1492 2.5549 0.4002 3.6278 1.3651 -3.6402 2.1759" Properties=species:S:1:pos:R:3 pbc="T T T"
In 0.0000 0.0000 0.0000
Pt 2.0514 -1.1121 1.4136
Mo 4.1028 -2.2242 2.8273
Co 6.1541 -3.3363 4.2409
```


No. 28
Material: InCoReMo
Method: DFT, PBE
State: optimized geometry

Properties
Total DFT energy (no corrections) = -0.582 Ry/atom
Excess energy over the best structure of this formula in the dataset = 0.000 eV per atom

```
4
Lattice="-2.9592 -2.7259 1.8616 -3.3859 1.6618 2.3296 -4.1235 -0.2291 -1.6117" Properties=species:S:1:pos:R:3 pbc="T T T"
Re -2.6172 -0.3233 0.6449
In 0.0000 0.0000 0.0000
Mo -5.2343 -0.6466 1.2898
Co -7.8515 -0.9699 1.9347
```